# HfMgCdCu (PBE-GGA, optimized geometry)
# - density (Mg/m³) = 8.32
# - D(E_F) (states/eV/f.u.) = 3.1
# - crystal system = tetragonal
# - VASP energy (eV/atom) = -4.2238
# - energy of formation from the pure elements (kJ/mol of atoms) = -8.1
data_HfMgCdCu
_symmetry_space_group_name_H-M 'P 4 m m'
_symmetry_Int_Tables_number 99
_cell_length_a 3.1180
_cell_length_b 3.1180
_cell_length_c 7.7731
_cell_angle_alpha 90.00
_cell_angle_beta 90.00
_cell_angle_gamma 90.00
loop_
_symmetry_equiv_pos_as_xyz
'x,y,z'
'-y,x,z'
'-x,-y,z'
'y,-x,z'
'-x,y,z'
'y,x,z'
'x,-y,z'
'-y,-x,z'
loop_
_atom_site_label
_atom_site_type_symbol
_atom_site_fract_x
_atom_site_fract_y
_atom_site_fract_z
_atom_site_occupancy
Hf1 Hf 0.0000 0.0000 0.0000 1
Mg1 Mg 0.0000 0.0000 0.4272 1
Cd1 Cd 0.5000 0.5000 0.7113 1
Cu1 Cu 0.5000 0.5000 0.2146 1

# PrScCdGe (PBE-GGA, optimized geometry)
# - density (Mg/m³) = 6.48
# - D(E_F) (states/eV/f.u.) = 2.8
# - crystal system = cubic
# - VASP energy (eV/atom) = -4.5885
# - energy of formation from the pure elements (kJ/mol of atoms) = -41.3
data_PrScCdGe
_symmetry_space_group_name_H-M 'F -4 3 m'
_symmetry_Int_Tables_number 216
_symmetry_space_group_name_Hall 'F -4 2 3'
_cell_length_a 7.2428
_cell_length_b 7.2428
_cell_length_c 7.2428
_cell_angle_alpha 90.00
_cell_angle_beta 90.00
_cell_angle_gamma 90.00
loop_
_atom_site_label
_atom_site_type_symbol
_atom_site_fract_x
_atom_site_fract_y
_atom_site_fract_z
_atom_site_occupancy
Pr1 Pr 0.0000 0.0000 0.0000 1
Sc1 Sc 0.0000 0.0000 0.5000 1
Cd1 Cd 0.2500 0.2500 0.7500 1
Ge1 Ge 0.2500 0.2500 0.2500 1

# HfH (PBE-GGA, optimized geometry)
# - density (Mg/m³) = 12.21
# - D(E_F) (states/eV/f.u.) = 1.2
# - crystal system = orthorhombic
# - VASP energy (eV/atom) = -6.9105
data_HfH
_symmetry_space_group_name_H-M 'P m n 21'
_symmetry_Int_Tables_number 31
_cell_length_a 9.2193
_cell_length_b 3.1593
_cell_length_c 5.0290
_cell_angle_alpha 90.00
_cell_angle_beta 90.00
_cell_angle_gamma 90.00
loop_
_symmetry_equiv_pos_as_xyz
'x,y,z'
'-x+1/2,-y,z+1/2'
'-x,y,z'
'x+1/2,-y,z+1/2'
loop_
_atom_site_label
_atom_site_type_symbol
_atom_site_fract_x
_atom_site_fract_y
_atom_site_fract_z
_atom_site_occupancy
Hf1 Hf 0.0000 0.0514 0.0000 1
Hf2 Hf 0.1655 0.6593 0.4859 1
H1 H 0.0000 0.5809 0.7418 1
H2 H 0.2054 0.8560 0.8696 1

# CsLiNd2S4 (PBE-GGA, optimized geometry)
# - density (Mg/m³) = 4.25
# - D(E_F) (states/eV/f.u.) = 0.0
# - crystal system = orthorhombic
# - VASP energy (eV/atom) = -5.4208
# - formation energy from raw total energies (eV per atom) = -1.82
data_CsLiNd2S4
_symmetry_space_group_name_H-M 'C m c m'
_symmetry_Int_Tables_number 63
_symmetry_space_group_name_Hall '-C 2c 2'
_cell_length_a 4.2109
_cell_length_b 14.2840
_cell_length_c 14.4524
_cell_angle_alpha 90.00
_cell_angle_beta 90.00
_cell_angle_gamma 90.00
loop_
_atom_site_label
_atom_site_type_symbol
_atom_site_fract_x
_atom_site_fract_y
_atom_site_fract_z
_atom_site_occupancy
Cs1 Cs 0.0000 0.1043 0.2500 1
Li1 Li 0.0000 0.1720 0.7500 1
Nd1 Nd 0.0000 0.3659 0.0592 1
S1 S 0.0000 0.0000 0.0000 1
S2 S 0.0000 0.2567 0.6048 1
S3 S 0.0000 0.4109 0.2500 1

# CePa4 (PBE-GGA, optimized geometry)
# - density (Mg/m³) = 14.08
# - D(E_F) (states/eV/f.u.) = 11.3
# - crystal system = orthorhombic
# - VASP energy (eV/atom) = -8.6894
# - energy of formation from the pure elements (kJ/mol of atoms) = 9.1
data_CePa4
_symmetry_space_group_name_H-M 'I m m a'
_symmetry_Int_Tables_number 74
_symmetry_space_group_name_Hall '-I 2b 2'
_cell_length_a 5.2170
_cell_length_b 6.2948
_cell_length_c 15.2841
_cell_angle_alpha 90.00
_cell_angle_beta 90.00
_cell_angle_gamma 90.00
loop_
_atom_site_label
_atom_site_type_symbol
_atom_site_fract_x
_atom_site_fract_y
_atom_site_fract_z
_atom_site_occupancy
Ce1 Ce 0.0000 0.2500 0.0986 1
Pa1 Pa 0.0000 0.0000 0.5000 1
Pa2 Pa 0.0000 0.0288 0.7003 1
Pa3 Pa 0.0000 0.2500 0.9036 1

# BaTl2Cl (PBE-GGA, optimized geometry)
# - density (Mg/m³) = 7.04
# - D(E_F) (states/eV/f.u.) = 5.6
# - crystal system = cubic
# - VASP energy (eV/atom) = -2.5168
# - formation energy from raw total energies (eV per atom) = -0.39
data_BaTl2Cl
_symmetry_space_group_name_H-M 'F m -3 m'
_symmetry_Int_Tables_number 225
_symmetry_space_group_name_Hall '-F 4 2 3'
_cell_length_a 8.1874
_cell_length_b 8.1874
_cell_length_c 8.1874
_cell_angle_alpha 90.00
_cell_angle_beta 90.00
_cell_angle_gamma 90.00
loop_
_atom_site_label
_atom_site_type_symbol
_atom_site_fract_x
_atom_site_fract_y
_atom_site_fract_z
_atom_site_occupancy
Ba1 Ba 0.0000 0.0000 0.0000 1
Tl1 Tl 0.2500 0.2500 0.2500 1
Cl1 Cl 0.0000 0.0000 0.5000 1

# LaSmUN3 (PBE-GGA, optimized geometry)
# - density (Mg/m³) = 7.82
# - D(E_F) (states/eV/f.u.) = 2.3
# - crystal system = monoclinic
# - VASP energy (eV/atom) = -8.7255
# - formation energy from raw total energies (eV per atom) = -1.07
data_LaSmUN3
_symmetry_space_group_name_H-M 'P 1 21/m 1'
_symmetry_Int_Tables_number 11
_cell_length_a 7.4815
_cell_length_b 3.7067
_cell_length_c 8.8033
_cell_angle_alpha 90.00
_cell_angle_beta 97.82
_cell_angle_gamma 90.00
loop_
_symmetry_equiv_pos_as_xyz
'x,y,z'
'-x,-y,-z'
'-x,y+1/2,-z'
'x,-y+1/2,z'
loop_
_atom_site_label
_atom_site_type_symbol
_atom_site_fract_x
_atom_site_fract_y
_atom_site_fract_z
_atom_site_occupancy
La1 La 0.1666 0.2500 0.1362 1
Sm1 Sm 0.3762 0.7500 0.8473 1
U1 U 0.0627 0.2500 0.5956 1
N1 N 0.1056 0.2500 0.8449 1
N2 N 0.2143 0.7500 0.5860 1
N3 N 0.3889 0.7500 0.1180 1

# Ho2Tm5Ru5 (PBE-GGA, optimized geometry)
# - density (Mg/m³) = 10.78
# - D(E_F) (states/eV/f.u.) = 7.8
# - crystal system = monoclinic
# - VASP energy (eV/atom) = -6.7756
# - energy of formation from the pure elements (kJ/mol of atoms) = -27.5
data_Ho2Tm5Ru5
_symmetry_space_group_name_H-M 'C 1 2/m 1'
_symmetry_Int_Tables_number 12
_cell_length_a 8.2861
_cell_length_b 4.7853
_cell_length_c 13.3420
_cell_angle_alpha 90.00
_cell_angle_beta 101.90
_cell_angle_gamma 90.00
loop_
_symmetry_equiv_pos_as_xyz
'x,y,z'
'-x,-y,-z'
'-x,y,-z'
'x,-y,z'
'x+1/2,y+1/2,z'
'-x+1/2,-y+1/2,-z'
'-x+1/2,y+1/2,-z'
'x+1/2,-y+1/2,z'
loop_
_atom_site_label
_atom_site_type_symbol
_atom_site_fract_x
_atom_site_fract_y
_atom_site_fract_z
_atom_site_occupancy
Ho1 Ho 0.0720 0.0000 0.2159 1
Tm1 Tm 0.0000 0.5000 0.5000 1
Tm2 Tm 0.1902 0.5000 0.0706 1
Tm3 Tm 0.2151 0.0000 0.6453 1
Ru1 Ru 0.0000 0.0000 0.0000 1
Ru2 Ru 0.1155 0.5000 0.8464 1
Ru3 Ru 0.1451 0.0000 0.4350 1

# Th2PaPtRh5 (PBE-GGA, optimized geometry)
# - density (Mg/m³) = 12.41
# - D(E_F) (states/eV/f.u.) = 10.5
# - crystal system = tetragonal
# - VASP energy (eV/atom) = -7.8761
# - energy of formation from the pure elements (kJ/mol of atoms) = -40.2
data_Th2PaPtRh5
_symmetry_space_group_name_H-M 'I 4/m c m'
_symmetry_Int_Tables_number 140
_symmetry_space_group_name_Hall '-I 4 2c'
_cell_length_a 8.4376
_cell_length_b 8.4376
_cell_length_c 10.5581
_cell_angle_alpha 90.00
_cell_angle_beta 90.00
_cell_angle_gamma 90.00
loop_
_atom_site_label
_atom_site_type_symbol
_atom_site_fract_x
_atom_site_fract_y
_atom_site_fract_z
_atom_site_occupancy
Th1 Th 0.1346 0.3654 0.0000 1
Pa1 Pa 0.0000 0.0000 0.2500 1
Pt1 Pt 0.0000 0.5000 0.2500 1
Rh1 Rh 0.0000 0.0000 0.0000 1
Rh2 Rh 0.1933 0.3067 0.3611 1

# Mg3Cd8Ag2 (PBE-GGA, optimized geometry)
# - density (Mg/m³) = 6.65
# - D(E_F) (states/eV/f.u.) = 4.0
# - crystal system = trigonal
# - VASP energy (eV/atom) = -1.3136
# - energy of formation from the pure elements (kJ/mol of atoms) = 5.4
data_Mg3Cd8Ag2
_symmetry_space_group_name_H-M 'R -3 m'
_symmetry_Int_Tables_number 166
_symmetry_space_group_name_Hall '-R 3 2"'
_cell_length_a 5.6329
_cell_length_b 5.6329
_cell_length_c 32.3839
_cell_angle_alpha 90.00
_cell_angle_beta 90.00
_cell_angle_gamma 120.00
loop_
_atom_site_label
_atom_site_type_symbol
_atom_site_fract_x
_atom_site_fract_y
_atom_site_fract_z
_atom_site_occupancy
Mg1 Mg 0.0000 0.0000 0.0000 1
Mg2 Mg 0.0000 0.0000 0.1849 1
Cd1 Cd 0.0000 0.0000 0.2791 1
Cd2 Cd 0.0003 0.5002 0.2277 1
Ag1 Ag 0.0000 0.0000 0.3625 1

# Nb2NiB (PBE-GGA, optimized geometry)
# - density (Mg/m³) = 7.96
# - D(E_F) (states/eV/f.u.) = 3.7
# - crystal system = orthorhombic
# - VASP energy (eV/atom) = -8.4790
# - energy of formation from the pure elements (kJ/mol of atoms) = -31.8
data_Nb2NiB
_symmetry_space_group_name_H-M 'A m m 2'
_symmetry_Int_Tables_number 38
_cell_length_a 3.3734
_cell_length_b 3.3853
_cell_length_c 9.3259
_cell_angle_alpha 90.00
_cell_angle_beta 90.00
_cell_angle_gamma 90.00
loop_
_symmetry_equiv_pos_as_xyz
'x,y,z'
'-x,-y,z'
'-x,y,z'
'x,-y,z'
'x,y+1/2,z+1/2'
'-x,-y+1/2,z+1/2'
'-x,y+1/2,z+1/2'
'x,-y+1/2,z+1/2'
loop_
_atom_site_label
_atom_site_type_symbol
_atom_site_fract_x
_atom_site_fract_y
_atom_site_fract_z
_atom_site_occupancy
Nb1 Nb 0.0000 0.0000 0.0000 1
Nb2 Nb 0.5000 0.0000 0.3010 1
Ni1 Ni 0.5000 0.0000 0.5925 1
B1 B 0.0000 0.0000 0.7329 1

# K2Re2Sn (PBE-GGA, optimized geometry)
# - density (Mg/m³) = 6.97
# - D(E_F) (states/eV/f.u.) = 5.0
# - crystal system = tetragonal
# - VASP energy (eV/atom) = -4.6007
# - energy of formation from the pure elements (kJ/mol of atoms) = 156.1
data_K2Re2Sn
_symmetry_space_group_name_H-M 'I 4/m m m'
_symmetry_Int_Tables_number 139
_symmetry_space_group_name_Hall '-I 4 2'
_cell_length_a 4.2127
_cell_length_b 4.2127
_cell_length_c 15.2770
_cell_angle_alpha 90.00
_cell_angle_beta 90.00
_cell_angle_gamma 90.00
loop_
_atom_site_label
_atom_site_type_symbol
_atom_site_fract_x
_atom_site_fract_y
_atom_site_fract_z
_atom_site_occupancy
K1 K 0.0000 0.5000 0.2500 1
Re1 Re 0.0000 0.0000 0.0707 1
Sn1 Sn 0.0000 0.0000 0.5000 1

# CdTeI2Br (PBE-GGA, optimized geometry)
# - density (Mg/m³) = 4.79
# - D(E_F) (states/eV/f.u.) = 4.3
# - crystal system = tetragonal
# - VASP energy (eV/atom) = -1.3008
# - formation energy from raw total energies (eV per atom) = 0.47
data_CdTeI2Br
_symmetry_space_group_name_H-M 'P 4/m m m'
_symmetry_Int_Tables_number 123
_symmetry_space_group_name_Hall '-P 4 2'
_cell_length_a 5.9030
_cell_length_b 5.9030
_cell_length_c 5.7069
_cell_angle_alpha 90.00
_cell_angle_beta 90.00
_cell_angle_gamma 90.00
loop_
_atom_site_label
_atom_site_type_symbol
_atom_site_fract_x
_atom_site_fract_y
_atom_site_fract_z
_atom_site_occupancy
Cd1 Cd 0.0000 0.0000 0.0000 1
Te1 Te 0.5000 0.5000 0.0000 1
I1 I 0.0000 0.5000 0.5000 1
Br1 Br 0.5000 0.5000 0.5000 1

# Re2SnNCl (PBE-GGA, optimized geometry)
# - density (Mg/m³) = 5.85
# - D(E_F) (states/eV/f.u.) = 3.7
# - crystal system = tetragonal
# - VASP energy (eV/atom) = -4.7364
# - formation energy from raw total energies (eV per atom) = 3.08
data_Re2SnNCl
_symmetry_space_group_name_H-M 'P 4/m m m'
_symmetry_Int_Tables_number 123
_symmetry_space_group_name_Hall '-P 4 2'
_cell_length_a 5.2514
_cell_length_b 5.2514
_cell_length_c 5.5665
_cell_angle_alpha 90.00
_cell_angle_beta 90.00
_cell_angle_gamma 90.00
loop_
_atom_site_label
_atom_site_type_symbol
_atom_site_fract_x
_atom_site_fract_y
_atom_site_fract_z
_atom_site_occupancy
Re1 Re 0.0000 0.5000 0.0000 1
Sn1 Sn 0.0000 0.0000 0.0000 1
N1 N 0.5000 0.5000 0.5000 1
Cl1 Cl 0.0000 0.0000 0.5000 1

# La5PmTl2 (PBE-GGA, optimized geometry)
# - density (Mg/m³) = 7.67
# - D(E_F) (states/eV/f.u.) = 11.1
# - crystal system = orthorhombic
# - VASP energy (eV/atom) = -4.4129
# - energy of formation from the pure elements (kJ/mol of atoms) = -14.3
data_La5PmTl2
_symmetry_space_group_name_H-M 'I m m m'
_symmetry_Int_Tables_number 71
_symmetry_space_group_name_Hall '-I 2 2'
_cell_length_a 3.7608
_cell_length_b 11.3662
_cell_length_c 12.6495
_cell_angle_alpha 90.00
_cell_angle_beta 90.00
_cell_angle_gamma 90.00
loop_
_atom_site_label
_atom_site_type_symbol
_atom_site_fract_x
_atom_site_fract_y
_atom_site_fract_z
_atom_site_occupancy
La1 La 0.0000 0.0000 0.0000 1
La2 La 0.0000 0.2788 0.3594 1
Pm1 Pm 0.0000 0.5000 0.0000 1
Tl1 Tl 0.0000 0.0000 0.2755 1

# RbAcTlBi (PBE-GGA, optimized geometry)
# - density (Mg/m³) = 7.93
# - D(E_F) (states/eV/f.u.) = 4.6
# - crystal system = cubic
# - VASP energy (eV/atom) = -3.0757
# - energy of formation from the pure elements (kJ/mol of atoms) = -23.6
data_RbAcTlBi
_symmetry_space_group_name_H-M 'F -4 3 m'
_symmetry_Int_Tables_number 216
_symmetry_space_group_name_Hall 'F -4 2 3'
_cell_length_a 8.4713
_cell_length_b 8.4713
_cell_length_c 8.4713
_cell_angle_alpha 90.00
_cell_angle_beta 90.00
_cell_angle_gamma 90.00
loop_
_atom_site_label
_atom_site_type_symbol
_atom_site_fract_x
_atom_site_fract_y
_atom_site_fract_z
_atom_site_occupancy
Rb1 Rb 0.0000 0.0000 0.0000 1
Ac1 Ac 0.0000 0.0000 0.5000 1
Tl1 Tl 0.2500 0.2500 0.7500 1
Bi1 Bi 0.2500 0.2500 0.2500 1

# Hf4AsN2 (PBE-GGA, optimized geometry)
# - density (Mg/m³) = 10.34
# - D(E_F) (states/eV/f.u.) = 3.9
# - crystal system = tetragonal
# - VASP energy (eV/atom) = -9.4122
# - formation energy from raw total energies (eV per atom) = -0.68
data_Hf4AsN2
_symmetry_space_group_name_H-M 'I 4/m'
_symmetry_Int_Tables_number 87
_symmetry_space_group_name_Hall '-I 4'
_cell_length_a 7.0083
_cell_length_b 7.0083
_cell_length_c 5.3397
_cell_angle_alpha 90.00
_cell_angle_beta 90.00
_cell_angle_gamma 90.00
loop_
_atom_site_label
_atom_site_type_symbol
_atom_site_fract_x
_atom_site_fract_y
_atom_site_fract_z
_atom_site_occupancy
Hf1 Hf 0.1225 0.3144 0.0000 1
As1 As 0.0000 0.0000 0.5000 1
N1 N 0.0000 0.5000 0.2500 1

# CaSm2Cd2 (PBE-GGA, optimized geometry)
# - density (Mg/m³) = 6.24
# - D(E_F) (states/eV/f.u.) = 4.4
# - crystal system = monoclinic
# - VASP energy (eV/atom) = -2.8362
# - energy of formation from the pure elements (kJ/mol of atoms) = -17.6
data_CaSm2Cd2
_symmetry_space_group_name_H-M 'C 1 2/m 1'
_symmetry_Int_Tables_number 12
_cell_length_a 16.6788
_cell_length_b 5.0379
_cell_length_c 3.5834
_cell_angle_alpha 90.00
_cell_angle_beta 90.24
_cell_angle_gamma 90.00
loop_
_symmetry_equiv_pos_as_xyz
'x,y,z'
'-x,-y,-z'
'-x,y,-z'
'x,-y,z'
'x+1/2,y+1/2,z'
'-x+1/2,-y+1/2,-z'
'-x+1/2,y+1/2,-z'
'x+1/2,-y+1/2,z'
loop_
_atom_site_label
_atom_site_type_symbol
_atom_site_fract_x
_atom_site_fract_y
_atom_site_fract_z
_atom_site_occupancy
Ca1 Ca 0.0000 0.0000 0.0000 1
Sm1 Sm 0.1323 0.5000 0.4976 1
Cd1 Cd 0.1982 0.0000 0.9984 1

# Dy8Pt2Au (PBE-GGA, optimized geometry)
# - density (Mg/m³) = 10.28
# - D(E_F) (states/eV/f.u.) = 14.0
# - crystal system = monoclinic
# - VASP energy (eV/atom) = -5.2848
# - energy of formation from the pure elements (kJ/mol of atoms) = -52.2
data_Dy8Pt2Au
_symmetry_space_group_name_H-M 'C 1 m 1'
_symmetry_Int_Tables_number 8
_cell_length_a 8.4982
_cell_length_b 13.0841
_cell_length_c 5.7426
_cell_angle_alpha 90.00
_cell_angle_beta 107.26
_cell_angle_gamma 90.00
loop_
_symmetry_equiv_pos_as_xyz
'x,y,z'
'x,-y,z'
'x+1/2,y+1/2,z'
'x+1/2,-y+1/2,z'
loop_
_atom_site_label
_atom_site_type_symbol
_atom_site_fract_x
_atom_site_fract_y
_atom_site_fract_z
_atom_site_occupancy
Dy1 Dy 0.0000 0.0000 0.0000 1
Dy2 Dy 0.0811 0.3726 0.7843 1
Dy3 Dy 0.1645 0.1273 0.5963 1
Dy4 Dy 0.2444 0.5000 0.3693 1
Dy5 Dy 0.3739 0.2276 0.1843 1
Pt1 Pt 0.3726 0.3049 0.6844 1
Au1 Au 0.3736 0.0000 0.0650 1